Compound: NpTaGaO6
Source: Alexandria via LeMat-Bulk
Functional: GGA-PBE
Structure: optimized geometry

abc: 5.1920 5.1920 9.7885
angles: 90.00 90.00 120.00
Fractional coordinates of all 18 atoms:
Np 0.0000 0.0000 0.0000
Np 0.0000 0.0000 0.5000
Ta 0.3333 0.6667 0.2500
Ta 0.6667 0.3333 0.7500
Ga 0.3333 0.6667 0.7500
Ga 0.6667 0.3333 0.2500
O 0.0015 0.3534 0.1375
O 0.0015 0.6481 0.3625
O 0.3519 0.3534 0.3625
O 0.3519 0.9985 0.1375
O 0.3534 0.0015 0.6375
O 0.3534 0.3519 0.8625
O 0.6466 0.6481 0.1375
O 0.6466 0.9985 0.3625
O 0.6481 0.0015 0.8625
O 0.6481 0.6466 0.6375
O 0.9985 0.3519 0.6375
O 0.9985 0.6466 0.8625

Computed properties:
Energy relative to the elements, uncorrected   -2562 meV/atom
Volume   114.3 Å³/f.u.
DOS(E_F)   12.70 states/eV/f.u.